Entry 1:
! PrHoTmCd GGA-PBE optimized geometry; values from VASP
! **Offset from the most stable computed form**: 0.000 eV/atom
! **Calculated formation energy**: -3.42 kcal/mol of atoms
&SYSTEM
  ibrav = 0, nat = 4, ntyp = 4
/
ATOMIC_SPECIES
Pr 140.91 Pr.upf
Ho 164.93 Ho.upf
Tm 168.93 Tm.upf
Cd 112.41 Cd.upf
CELL_PARAMETERS angstrom
3.6227 0.0000 0.0000
0.0000 3.6227 0.0000
0.0000 0.0000 9.0018
ATOMIC_POSITIONS crystal
Pr 0.0000 0.0000 0.0000
Ho 0.5000 0.5000 0.7171
Tm 0.5000 0.5000 0.2803
Cd 0.0000 0.0000 0.4957



Entry 2:
! PrHoTmCd GGA-PBE optimized geometry; values from VASP
! **Offset from the most stable computed form**: 0.113 eV/atom
! **Calculated formation energy**: -0.81 kcal/mol of atoms
&SYSTEM
  ibrav = 0, nat = 4, ntyp = 4
/
ATOMIC_SPECIES
Pr 140.91 Pr.upf
Ho 164.93 Ho.upf
Tm 168.93 Tm.upf
Cd 112.41 Cd.upf
CELL_PARAMETERS angstrom
0.0000 3.8825 3.8825
3.8825 0.0000 3.8825
3.8825 3.8825 0.0000
ATOMIC_POSITIONS crystal
Pr 0.0000 0.0000 0.0000
Ho 0.5000 0.5000 0.5000
Tm 0.2500 0.2500 0.2500
Cd 0.7500 0.7500 0.7500



Entry 3:
! PrHoZnCd GGA-PBE optimized geometry; values from VASP
! **Offset from the most stable computed form**: 0.032 eV/atom
! **Calculated formation energy**: -6.69 kcal/mol of atoms
&SYSTEM
  ibrav = 0, nat = 4, ntyp = 4
/
ATOMIC_SPECIES
Pr 140.91 Pr.upf
Ho 164.93 Ho.upf
Zn 65.41 Zn.upf
Cd 112.41 Cd.upf
CELL_PARAMETERS angstrom
0.0000 3.7308 3.7308
3.7308 0.0000 3.7308
3.7308 3.7308 0.0000
ATOMIC_POSITIONS crystal
Pr 0.0000 0.0000 0.0000
Ho 0.5000 0.5000 0.5000
Zn 0.2500 0.2500 0.2500
Cd 0.7500 0.7500 0.7500



Entry 4:
! PrHoZnCd GGA-PBE optimized geometry; values from VASP
! **Offset from the most stable computed form**: 0.000 eV/atom
! **Calculated formation energy**: -7.42 kcal/mol of atoms
&SYSTEM
  ibrav = 0, nat = 4, ntyp = 4
/
ATOMIC_SPECIES
Pr 140.91 Pr.upf
Ho 164.93 Ho.upf
Zn 65.41 Zn.upf
Cd 112.41 Cd.upf
CELL_PARAMETERS angstrom
3.6488 0.0000 0.0000
0.0000 3.6488 0.0000
0.0000 0.0000 7.7117
ATOMIC_POSITIONS crystal
Pr 0.0000 0.0000 0.0000
Ho 0.0000 0.0000 0.4610
Zn 0.5000 0.5000 0.2524
Cd 0.5000 0.5000 0.7113



What is the calculated formation energy in the first record?
-3.42 kcal/mol of atoms



The highest offset from the most stable computed form belongs to which entry?
number 2